No. 1
Sm3CdF | PBE | relaxed

```
Sm3CdF
1.0
4.9813 0.0000 0.0000
0.0000 4.9813 0.0000
0.0000 0.0000 4.9813
Sm Cd F
3 1 1
direct
0.0000 0.0000 0.5000 Sm
0.0000 0.5000 0.0000 Sm
0.5000 0.0000 0.0000 Sm
0.5000 0.5000 0.5000 Cd
0.0000 0.0000 0.0000 F
```

Properties
Volume ... 123.61 Å³/cell
Calculated density ... 7.83 Mg/m³
ΔE_f (raw) ... -1.01 eV/atom
E_tot ... -4.403 eV/atom


No. 2
Ca2ReBr | PBE | relaxed

```
Ca2ReBr
1.0
3.3909 0.0000 0.0000
0.0000 3.3909 0.0000
0.0000 0.0000 8.3371
Ca Re Br
2 1 1
direct
0.0000 0.0000 0.2304 Ca
0.0000 0.0000 0.7696 Ca
0.5000 0.5000 0.0000 Re
0.5000 0.5000 0.5000 Br
```

Properties
Volume ... 95.86 Å³/cell
Calculated density ... 6.00 Mg/m³
Energy relative to the lowest polymorph listed for this composition ... 0 kJ/mol of formula units
ΔE_f (raw) ... -0.09 eV/atom
E_tot ... -4.616 eV/atom


No. 3
MgMo2Cl | PBE | relaxed

```
MgMo2Cl
1.0
1.5795 -2.3393 0.0000
1.5795 2.3393 0.0000
0.0000 0.0000 9.0449
Mg Mo Cl
1 2 1
direct
0.0000 0.0000 0.0000 Mg
0.5000 0.5000 0.2640 Mo
0.5000 0.5000 0.7360 Mo
0.0000 0.0000 0.5000 Cl
```

Properties
Volume ... 66.84 Å³/cell
Calculated density ... 6.25 Mg/m³
Energy relative to the lowest polymorph listed for this composition ... 233 kJ/mol of formula units
ΔE_f (raw) ... 0.57 eV/atom
E_tot ... -5.708 eV/atom


No. 4
Mn2AlRh | PBE | relaxed

```
Mn2AlRh
1.0
1.3347 0.7706 8.4080
-1.3347 0.7706 8.4080
0.0000 -1.5412 8.4080
Mn Al Rh
2 1 1
direct
0.2500 0.2500 0.2500 Mn
0.7500 0.7500 0.7500 Mn
0.0000 0.0000 0.0000 Al
0.5000 0.5000 0.5000 Rh
```

Properties
Volume ... 51.89 Å³/cell
Calculated density ... 7.67 Mg/m³
Energy of formation from the pure elements ... 0.0005 eV per atom
E_tot ... -7.358 eV/atom


No. 5
Y3Si5Ir6 | PBE | relaxed

```
Y3Si5Ir6
1.0
4.0173 0.0000 0.0000
0.0000 12.3819 0.0000
0.0000 0.0000 9.6535
Y Si Ir
6 10 12
direct
0.2500 0.0908 0.2485 Y
0.2500 0.4092 0.2485 Y
0.2500 0.7500 0.2426 Y
0.7500 0.2500 0.7574 Y
0.7500 0.5908 0.7515 Y
0.7500 0.9092 0.7515 Y
0.2500 0.0769 0.6500 Si
0.2500 0.4231 0.6500 Si
0.2500 0.6308 0.9824 Si
0.2500 0.7500 0.6143 Si
0.2500 0.8692 0.9824 Si
0.7500 0.1308 0.0176 Si
0.7500 0.2500 0.3857 Si
0.7500 0.3692 0.0176 Si
0.7500 0.5769 0.3500 Si
0.7500 0.9231 0.3500 Si
0.2500 0.0489 0.8977 Ir
0.2500 0.2500 0.0101 Ir
0.2500 0.2500 0.5208 Ir
0.2500 0.4511 0.8977 Ir
0.2500 0.5814 0.4901 Ir
0.2500 0.9186 0.4901 Ir
0.7500 0.0814 0.5099 Ir
0.7500 0.4186 0.5099 Ir
0.7500 0.5489 0.1023 Ir
0.7500 0.7500 0.4792 Ir
0.7500 0.7500 0.9899 Ir
0.7500 0.9511 0.1023 Ir
```

Properties
Volume ... 480.18 Å³/cell
Calculated density ... 10.79 Mg/m³
ΔE_f (raw) ... -1.01 eV/atom
E_tot ... -8.129 eV/atom


No. 6
Re2Se | PBE | relaxed

```
Re2Se
1.0
4.2414 0.0000 0.0000
-2.1207 3.6731 0.0000
0.0000 0.0000 2.9533
Re Se
2 1
direct
0.3333 0.6667 0.2525 Re
0.6667 0.3333 0.7475 Re
0.0000 0.0000 0.5000 Se
```

Properties
Volume ... 46.01 Å³/cell
Calculated density ... 16.29 Mg/m³
Energy relative to the lowest polymorph listed for this composition ... 140 kJ/mol of formula units
ΔE_f (raw) ... 0.55 eV/atom
E_tot ... -8.906 eV/atom